Record 1
# Ga2AgAs2 (PBE, optimized geometry)
# DFT formation energy ... 0.176 eV per atom
data_Ga2AgAs2
_symmetry_space_group_name_H-M 'P 1'
_symmetry_Int_Tables_number 1
_symmetry_space_group_name_Hall 'P 1'
_cell_length_a 5.033
_cell_length_b 5.033
_cell_length_c 5.395
_cell_angle_alpha 62.19
_cell_angle_beta 62.19
_cell_angle_gamma 90.00
loop_
_atom_site_label
_atom_site_type_symbol
_atom_site_fract_x
_atom_site_fract_y
_atom_site_fract_z
As1 As 0.750 0.250 0.500
As2 As 0.250 0.750 0.500
Ga1 Ga 0.347 0.347 0.305
Ga2 Ga 0.653 0.653 0.695
Ag1 Ag 0.000 0.000 0.000

***

Record 2
# GdPuZnSi (PBE, optimized geometry)
# Energy relative to the elements, uncorrected ... -0.33 eV/atom
data_GdPuZnSi
_symmetry_space_group_name_H-M 'P 1'
_symmetry_Int_Tables_number 1
_symmetry_space_group_name_Hall 'P 1'
_cell_length_a 5.018
_cell_length_b 5.018
_cell_length_c 5.018
_cell_angle_alpha 60.00
_cell_angle_beta 60.00
_cell_angle_gamma 60.00
loop_
_atom_site_label
_atom_site_type_symbol
_atom_site_fract_x
_atom_site_fract_y
_atom_site_fract_z
Zn1 Zn 0.750 0.750 0.750
Gd1 Gd 0.500 0.500 0.500
Si1 Si 0.250 0.250 0.250
Pu1 Pu 0.000 0.000 0.000

***

Record 3
# AlOs2Pb (PBE, optimized geometry)
# DFT formation energy ... 0.514 eV per atom
data_AlOs2Pb
_symmetry_space_group_name_H-M 'P 1'
_symmetry_Int_Tables_number 1
_symmetry_space_group_name_Hall 'P 1'
_cell_length_a 2.914
_cell_length_b 3.900
_cell_length_c 6.023
_cell_angle_alpha 90.00
_cell_angle_beta 90.00
_cell_angle_gamma 90.00
loop_
_atom_site_label
_atom_site_type_symbol
_atom_site_fract_x
_atom_site_fract_y
_atom_site_fract_z
Pb1 Pb 0.000 0.000 0.482
Os1 Os 0.000 0.000 0.975
Os2 Os 0.500 0.500 0.228
Al1 Al 0.500 0.500 0.815

***

Record 4
# Th2Cd5Au (PBE, optimized geometry)
# DFT formation energy ... -0.165 eV per atom
data_Th2Cd5Au
_symmetry_space_group_name_H-M 'P 1'
_symmetry_Int_Tables_number 1
_symmetry_space_group_name_Hall 'P 1'
_cell_length_a 4.524
_cell_length_b 9.139
_cell_length_c 10.009
_cell_angle_alpha 90.00
_cell_angle_beta 90.00
_cell_angle_gamma 104.33
loop_
_atom_site_label
_atom_site_type_symbol
_atom_site_fract_x
_atom_site_fract_y
_atom_site_fract_z
Th1 Th 0.815 0.630 0.750
Th2 Th 0.185 0.370 0.250
Th3 Th 0.000 0.000 0.000
Th4 Th 0.000 0.000 0.500
Cd1 Cd 0.198 0.395 0.895
Cd2 Cd 0.802 0.605 0.105
Cd3 Cd 0.198 0.395 0.605
Cd4 Cd 0.802 0.605 0.395
Cd5 Cd 0.359 0.719 0.974
Cd6 Cd 0.641 0.281 0.026
Cd7 Cd 0.359 0.719 0.526
Cd8 Cd 0.641 0.281 0.474
Cd9 Cd 0.605 0.211 0.750
Cd10 Cd 0.395 0.789 0.250
Au1 Au 0.451 0.902 0.750
Au2 Au 0.549 0.098 0.250

***

Sequential VASP energy output: -3.465 -9.106 -6.963 -3.002 eV per atom